(1)
Computed, not measured: an optimized crystal structure of CeTmTlRh at the PBE-GGA level of DFT.

Output
Space-group type: No. 216
Energy above the most stable polymorph in this dataset in meV/atom: 177.7
Fermi-level density of states in states/eV/f.u.: 7.2
DFT formation energy in meV per atom: -384
Total energy in eV/atom: -5.415

a = 7.278 Å, b = 7.278 Å, c = 7.278 Å
α = 90.00°, β = 90.00°, γ = 90.00°
Fractional positions:
Ce  0.000  0.000  0.000
Ce  0.000  0.500  0.500
Ce  0.500  0.000  0.500
Ce  0.500  0.500  0.000
Tm  0.000  0.000  0.500
Tm  0.000  0.500  0.000
Tm  0.500  0.000  0.000
Tm  0.500  0.500  0.500
Tl  0.250  0.250  0.250
Tl  0.250  0.750  0.750
Tl  0.750  0.250  0.750
Tl  0.750  0.750  0.250
Rh  0.250  0.250  0.750
Rh  0.250  0.750  0.250
Rh  0.750  0.250  0.250
Rh  0.750  0.750  0.750

***

(2)
Computed, not measured: an optimized crystal structure of CeTmTlRh at the PBE-GGA level of DFT.

Output
Space-group type: No. 99
Energy above the most stable polymorph in this dataset in meV/atom: 0.0
Fermi-level density of states in states/eV/f.u.: 5.7
DFT formation energy in meV per atom: -562
Total energy in eV/atom: -5.592

a = 3.421 Å, b = 3.421 Å, c = 8.180 Å
α = 90.00°, β = 90.00°, γ = 90.00°
Fractional positions:
Ce  0.000  0.000  0.000
Tm  0.000  0.000  0.582
Tl  0.500  0.500  0.299
Rh  0.500  0.500  0.778

***

(3)
Computed, not measured: an optimized crystal structure of CeTlZnRh at the PBE-GGA level of DFT.

Output
Space-group type: No. 216
Fermi-level density of states in states/eV/f.u.: 5.0
DFT formation energy in meV per atom: -277
Total energy in eV/atom: -4.508

a = 6.898 Å, b = 6.898 Å, c = 6.898 Å
α = 90.00°, β = 90.00°, γ = 90.00°
Fractional positions:
Ce  0.000  0.000  0.000
Ce  0.000  0.500  0.500
Ce  0.500  0.000  0.500
Ce  0.500  0.500  0.000
Tl  0.000  0.000  0.500
Tl  0.000  0.500  0.000
Tl  0.500  0.000  0.000
Tl  0.500  0.500  0.500
Zn  0.250  0.250  0.250
Zn  0.250  0.750  0.750
Zn  0.750  0.250  0.750
Zn  0.750  0.750  0.250
Rh  0.250  0.250  0.750
Rh  0.250  0.750  0.250
Rh  0.750  0.250  0.250
Rh  0.750  0.750  0.750

***

(4)
Computed, not measured: an optimized crystal structure of CeTm2Rh9 at the PBE-GGA level of DFT.

Output
Space-group type: No. 166
Fermi-level density of states in states/eV/f.u.: 11.2
DFT formation energy in meV per atom: -595
Total energy in eV/atom: -7.349

a = 9.267 Å, b = 9.267 Å, c = 9.267 Å
α = 32.87°, β = 32.87°, γ = 32.87°
Fractional positions:
Ce  0.000  0.000  0.000
Tm  0.140  0.140  0.140
Tm  0.860  0.860  0.860
Rh  0.083  0.584  0.584
Rh  0.333  0.333  0.333
Rh  0.416  0.416  0.917
Rh  0.416  0.917  0.416
Rh  0.500  0.500  0.500
Rh  0.584  0.083  0.584
Rh  0.584  0.584  0.083
Rh  0.667  0.667  0.667
Rh  0.917  0.416  0.416